# MnCdAuF6 | Alexandria | GGA+U | optimized geometry
data_MnCdAuF6
_space_group_name_H-M_alt 'P -3 1 c'
_space_group_IT_number 163
_space_group_name_Hall '-P 3 2c'
_cell_length_a 5.7484
_cell_length_b 5.7484
_cell_length_c 9.5058
_cell_angle_alpha 90.00
_cell_angle_beta 90.00
_cell_angle_gamma 120.00
loop_
_atom_site_label
_atom_site_type_symbol
_atom_site_fract_x
_atom_site_fract_y
_atom_site_fract_z
Mn1 Mn 0.3333 0.6667 0.2500
Cd1 Cd 0.3333 0.6667 0.7500
Au1 Au 0.0000 0.0000 0.0000
F1 F 0.0276 0.3623 0.1340
# total DFT energy (no corrections)	-4.38	eV per atom